[1]
Cu5H3Cl12 | GGA-PBE | optimized geometry

Lattice parameters (Å, degrees): 12.6581 12.6581 12.6581 109.47 109.47 109.47
Element x y z (fractional)
1 Cu 0.0000 0.0000 0.0000
2 Cu 0.0000 0.0000 0.5000
3 Cu 0.0000 0.5000 0.0000
4 Cu 0.0000 0.5000 0.5000
5 Cu 0.1250 0.7500 0.8750
6 Cu 0.1250 0.8750 0.2500
7 Cu 0.2500 0.1250 0.8750
8 Cu 0.2500 0.6250 0.3750
9 Cu 0.3750 0.2500 0.6250
10 Cu 0.3750 0.6250 0.7500
11 Cu 0.5000 0.0000 0.0000
12 Cu 0.5000 0.0000 0.5000
13 Cu 0.5000 0.5000 0.0000
14 Cu 0.5000 0.5000 0.5000
15 Cu 0.6250 0.3750 0.2500
16 Cu 0.6250 0.7500 0.3750
17 Cu 0.7500 0.3750 0.6250
18 Cu 0.7500 0.8750 0.1250
19 Cu 0.8750 0.1250 0.7500
20 Cu 0.8750 0.2500 0.1250
21 H 0.1250 0.2500 0.3750
22 H 0.1250 0.3750 0.7500
23 H 0.2500 0.3750 0.1250
24 H 0.2500 0.8750 0.6250
25 H 0.3750 0.1250 0.2500
26 H 0.3750 0.7500 0.1250
27 H 0.6250 0.2500 0.8750
28 H 0.6250 0.8750 0.7500
29 H 0.7500 0.1250 0.3750
30 H 0.7500 0.6250 0.8750
31 H 0.8750 0.6250 0.2500
32 H 0.8750 0.7500 0.6250
33 Cl 0.0006 0.6442 0.1719
34 Cl 0.0006 0.8564 0.8288
35 Cl 0.0277 0.1712 0.6719
36 Cl 0.0277 0.3564 0.3558
37 Cl 0.1442 0.1436 0.4723
38 Cl 0.1436 0.1712 0.9994
39 Cl 0.1436 0.4723 0.1442
40 Cl 0.1442 0.5006 0.6719
41 Cl 0.1712 0.6719 0.0277
42 Cl 0.1712 0.9994 0.1436
43 Cl 0.1719 0.0006 0.6442
44 Cl 0.1719 0.6712 0.5277
45 Cl 0.3281 0.8558 0.4994
46 Cl 0.3281 0.9723 0.8288
47 Cl 0.3288 0.3564 0.5006
48 Cl 0.3288 0.4723 0.8281
49 Cl 0.3558 0.0277 0.3564
50 Cl 0.3564 0.3558 0.0277
51 Cl 0.3564 0.5006 0.3288
52 Cl 0.3558 0.8281 0.9994
53 Cl 0.4723 0.1442 0.1436
54 Cl 0.4723 0.8281 0.3288
55 Cl 0.4994 0.3281 0.8558
56 Cl 0.4994 0.6712 0.6436
57 Cl 0.5006 0.3288 0.3564
58 Cl 0.5006 0.6719 0.1442
59 Cl 0.5277 0.1719 0.6712
60 Cl 0.5277 0.8558 0.8564
61 Cl 0.6442 0.1719 0.0006
62 Cl 0.6436 0.4994 0.6712
63 Cl 0.6436 0.6442 0.9723
64 Cl 0.6442 0.9723 0.6436
65 Cl 0.6712 0.5277 0.1719
66 Cl 0.6712 0.6436 0.4994
67 Cl 0.6719 0.0277 0.1712
68 Cl 0.6719 0.1442 0.5006
69 Cl 0.8281 0.3288 0.4723
70 Cl 0.8281 0.9994 0.3558
71 Cl 0.8288 0.0006 0.8564
72 Cl 0.8288 0.3281 0.9723
73 Cl 0.8558 0.4994 0.3281
74 Cl 0.8564 0.5277 0.8558
75 Cl 0.8564 0.8288 0.0006
76 Cl 0.8558 0.8564 0.5277
77 Cl 0.9723 0.6436 0.6442
78 Cl 0.9723 0.8288 0.3281
79 Cl 0.9994 0.1436 0.1712
80 Cl 0.9994 0.3558 0.8281

energy: -0.1983 Ry per atom
crystal system: cubic

=====

[2]
CuHCl4 | GGA-PBE | optimized geometry

Lattice parameters (Å, degrees): 8.4993 8.4993 6.0187 94.63 94.63 139.48
Element x y z (fractional)
1 Cu 0.0589 0.9411 0.7500
2 Cu 0.9411 0.0589 0.2500
3 H 0.3376 0.6624 0.2500
4 H 0.6624 0.3376 0.7500
5 Cl 0.0630 0.4020 0.1399
6 Cl 0.1819 0.2824 0.5973
7 Cl 0.2824 0.1819 0.0973
8 Cl 0.4020 0.0630 0.6399
9 Cl 0.5980 0.9370 0.3601
10 Cl 0.7176 0.8181 0.9027
11 Cl 0.8181 0.7176 0.4027
12 Cl 0.9370 0.5980 0.8601

excess energy over the best structure of this formula in the dataset: 50 meV per atom
energy: -0.2035 Ry per atom
crystal system: monoclinic

=====

[3]
CuH3Cl | GGA-PBE | optimized geometry

Lattice parameters (Å, degrees): 3.6555 3.6555 3.6555 90.00 90.00 90.00
Element x y z (fractional)
1 Cu 0.0000 0.0000 0.0000
2 H 0.0000 0.5000 0.5000
3 H 0.5000 0.0000 0.5000
4 H 0.5000 0.5000 0.0000
5 Cl 0.5000 0.5000 0.5000

excess energy over the best structure of this formula in the dataset: 560 meV per atom
energy: -0.1430 Ry per atom
crystal system: cubic

=====

[4]
CuHCl3 | GGA-PBE | optimized geometry

Lattice parameters (Å, degrees): 7.5553 7.5553 10.9998 95.16 95.16 23.91
Element x y z (fractional)
1 Cu 0.1289 0.1289 0.4095
2 Cu 0.8711 0.8711 0.5905
3 H 0.3981 0.3981 0.1026
4 H 0.6019 0.6019 0.8974
5 Cl 0.1294 0.1294 0.9127
6 Cl 0.3628 0.3628 0.4422
7 Cl 0.3827 0.3827 0.7368
8 Cl 0.6173 0.6173 0.2632
9 Cl 0.6372 0.6372 0.5578
10 Cl 0.8706 0.8706 0.0873

excess energy over the best structure of this formula in the dataset: 0 meV per atom
energy: -0.2189 Ry per atom
crystal system: monoclinic

=====

Number 1: size of the total moment 0.00 μB per formula unit. Number 2: size of the total moment 0.00 μB per formula unit. Number 3: size of the total moment 0.00 μB per formula unit. Number 4: size of the total moment 0.83 μB per formula unit.